Record 1
DFT (GGA-PBE) results for a relaxed structure of Rb2MgCuBr5.

Summary:
Density of states at the Fermi level, states/eV/f.u.: 0.00
Density, g/cm3: 3.68
Uncorrected formation energy, eV/atom: -1.3212

```
data_Rb2MgCuBr5
_chemical_formula_sum 'Rb8 Mg4 Cu4 Br20'
_cell_length_a 4.203
_cell_length_b 20.244
_cell_length_c 13.949
_cell_angle_alpha 90.00
_cell_angle_beta 90.00
_cell_angle_gamma 90.00
_symmetry_space_group_name_H-M 'C m c 21'
_symmetry_Int_Tables_number 36
loop_
_symmetry_equiv_pos_as_xyz
'x,y,z'
'-x,-y,z+1/2'
'-x,y,z'
'x,-y,z+1/2'
'x+1/2,y+1/2,z'
'-x+1/2,-y+1/2,z+1/2'
'-x+1/2,y+1/2,z'
'x+1/2,-y+1/2,z+1/2'
loop_
_atom_site_label
_atom_site_type_symbol
_atom_site_fract_x
_atom_site_fract_y
_atom_site_fract_z
_atom_site_occupancy
Rb1 Rb 0.000 0.122 0.000 1
Rb2 Rb 0.000 0.126 0.620 1
Mg1 Mg 0.000 0.206 0.321 1
Cu1 Cu 0.000 0.436 0.737 1
Br1 Br 0.000 0.073 0.329 1
Br2 Br 0.000 0.293 0.951 1
Br3 Br 0.000 0.303 0.687 1
Br4 Br 0.000 0.335 0.311 1
Br5 Br 0.000 0.495 0.589 1
```

=====

Record 2
DFT (GGA-PBE) results for a relaxed structure of Rb3MgCu2Br9.

Summary:
Density of states at the Fermi level, states/eV/f.u.: 4.26
Density, g/cm3: 4.25
Uncorrected formation energy, eV/atom: -1.0676

```
data_Rb3MgCu2Br9
_chemical_formula_sum 'Rb3 Mg1 Cu2 Br9'
_cell_length_a 7.4525
_cell_length_b 7.4525
_cell_length_c 9.1532
_cell_angle_alpha 90.00
_cell_angle_beta 90.00
_cell_angle_gamma 120.00
_symmetry_space_group_name_H-M 'P -3 m 1'
_symmetry_Int_Tables_number 164
_symmetry_space_group_name_Hall '-P 3 2"'
loop_
_atom_site_label
_atom_site_type_symbol
_atom_site_fract_x
_atom_site_fract_y
_atom_site_fract_z
_atom_site_occupancy
Rb1 Rb 0.0000 0.0000 0.0000 1
Rb2 Rb 0.3333 0.6667 0.6637 1
Mg1 Mg 0.0000 0.0000 0.5000 1
Cu1 Cu 0.3333 0.6667 0.1605 1
Br1 Br 0.0000 0.5000 0.0000 1
Br2 Br 0.1691 0.3382 0.3280 1
```

=====

Record 3
DFT (GGA-PBE) results for a relaxed structure of Rb2MgCuBr6.

Summary:
Density of states at the Fermi level, states/eV/f.u.: 1.58
ΔE to the lowest computed polymorph, eV per atom: 0.0089
Density, g/cm3: 4.04
Uncorrected formation energy, eV/atom: -1.1669

```
data_Rb2MgCuBr6
_chemical_formula_sum 'Rb4 Mg2 Cu2 Br12'
_cell_length_a 7.591
_cell_length_b 7.591
_cell_length_c 10.524
_cell_angle_alpha 90.00
_cell_angle_beta 90.00
_cell_angle_gamma 90.00
_symmetry_space_group_name_H-M 'I 4/m m m'
_symmetry_Int_Tables_number 139
_symmetry_space_group_name_Hall '-I 4 2'
loop_
_atom_site_label
_atom_site_type_symbol
_atom_site_fract_x
_atom_site_fract_y
_atom_site_fract_z
_atom_site_occupancy
Rb1 Rb 0.000 0.500 0.250 1
Mg1 Mg 0.000 0.000 0.000 1
Cu1 Cu 0.000 0.000 0.500 1
Br1 Br 0.000 0.000 0.264 1
Br2 Br 0.248 0.248 0.000 1
```

=====

Record 4
DFT (GGA-PBE) results for a relaxed structure of Rb2MgCuBr6.

Summary:
Density of states at the Fermi level, states/eV/f.u.: 0.70
ΔE to the lowest computed polymorph, eV per atom: 0.0000
Density, g/cm3: 3.90
Uncorrected formation energy, eV/atom: -1.1759

```
data_Rb2MgCuBr6
_chemical_formula_sum 'Rb4 Mg2 Cu2 Br12'
_cell_length_a 7.911
_cell_length_b 7.676
_cell_length_c 12.850
_cell_angle_alpha 90.00
_cell_angle_beta 126.39
_cell_angle_gamma 90.00
_symmetry_space_group_name_H-M 'P 1 21/c 1'
_symmetry_Int_Tables_number 14
loop_
_symmetry_equiv_pos_as_xyz
'x,y,z'
'-x,-y,-z'
'-x,y+1/2,-z+1/2'
'x,-y+1/2,z+1/2'
loop_
_atom_site_label
_atom_site_type_symbol
_atom_site_fract_x
_atom_site_fract_y
_atom_site_fract_z
_atom_site_occupancy
Rb1 Rb 0.249 0.013 0.247 1
Mg1 Mg 0.000 0.000 0.500 1
Cu1 Cu 0.500 0.000 0.000 1
Br1 Br 0.184 0.240 0.472 1
Br2 Br 0.256 0.741 0.469 1
Br3 Br 0.322 0.018 0.764 1
```

=====

Record 5
DFT (GGA-PBE) results for a relaxed structure of MgCuSeBr2.

Summary:
Density of states at the Fermi level, states/eV/f.u.: 1.37
ΔE to the lowest computed polymorph, eV per atom: 0.0000
Density, g/cm3: 4.42
Uncorrected formation energy, eV/atom: -0.1645

```
data_MgCuSeBr2
_chemical_formula_sum 'Mg1 Cu1 Se1 Br2'
_cell_length_a 4.871
_cell_length_b 4.871
_cell_length_c 5.174
_cell_angle_alpha 90.00
_cell_angle_beta 90.00
_cell_angle_gamma 90.00
_symmetry_space_group_name_H-M 'P 4/m m m'
_symmetry_Int_Tables_number 123
_symmetry_space_group_name_Hall '-P 4 2'
loop_
_atom_site_label
_atom_site_type_symbol
_atom_site_fract_x
_atom_site_fract_y
_atom_site_fract_z
_atom_site_occupancy
Mg1 Mg 0.000 0.000 0.000 1
Cu1 Cu 0.500 0.500 0.500 1
Se1 Se 0.500 0.500 0.000 1
Br1 Br 0.000 0.500 0.500 1
```

=====

Record 6
DFT (GGA-PBE) results for a relaxed structure of MgCuSe2Br.

Summary:
Density of states at the Fermi level, states/eV/f.u.: 2.71
ΔE to the lowest computed polymorph, eV per atom: 0.0000
Density, g/cm3: 4.60
Uncorrected formation energy, eV/atom: -0.0094

```
data_MgCuSe2Br
_chemical_formula_sum 'Mg1 Cu1 Se2 Br1'
_cell_length_a 4.815
_cell_length_b 4.815
_cell_length_c 5.069
_cell_angle_alpha 90.00
_cell_angle_beta 90.00
_cell_angle_gamma 90.00
_symmetry_space_group_name_H-M 'P 4/m m m'
_symmetry_Int_Tables_number 123
_symmetry_space_group_name_Hall '-P 4 2'
loop_
_atom_site_label
_atom_site_type_symbol
_atom_site_fract_x
_atom_site_fract_y
_atom_site_fract_z
_atom_site_occupancy
Mg1 Mg 0.000 0.000 0.000 1
Cu1 Cu 0.500 0.500 0.500 1
Se1 Se 0.000 0.500 0.500 1
Br1 Br 0.500 0.500 0.000 1
```